Here is a geometry-optimized PmMnAsO6 structure from Alexandria via LeMat-Bulk. Energies are from PBE+U.

Output
N(E_F) ... 0.00 states/eV/cell
Energy ... -7.171 eV/atom
SG ... No. 149

```
data_PmMnAsO6
_chemical_formula_sum 'Pm1 Mn1 As1 O6'
_cell_length_a 5.080
_cell_length_b 4.995
_cell_length_c 4.995
_cell_angle_alpha 120.00
_cell_angle_beta 90.00
_cell_angle_gamma 90.00
_symmetry_space_group_name_H-M 'P 1'
_symmetry_Int_Tables_number 1
loop_
_symmetry_equiv_pos_as_xyz
'x,y,z'
loop_
_atom_site_label
_atom_site_type_symbol
_atom_site_fract_x
_atom_site_fract_y
_atom_site_fract_z
Pm1 Pm 0.000 0.333 0.667
O1 O 0.292 0.712 0.036
O2 O 0.292 0.323 0.288
As1 As 0.500 0.000 0.000
O3 O 0.708 0.323 0.036
O4 O 0.292 0.964 0.677
Mn1 Mn 0.500 0.667 0.333
O5 O 0.708 0.712 0.677
O6 O 0.708 0.964 0.288
```



Here is a geometry-optimized PrMnAs2O8 structure from Alexandria via LeMat-Bulk. Energies are from PBE+U.

Output
N(E_F) ... 9.98 states/eV/cell
Energy ... -6.789 eV/atom
SG ... No. 119

```
data_PrMnAs2O8
_chemical_formula_sum 'Pr1 Mn1 As2 O8'
_cell_length_a 6.050
_cell_length_b 6.050
_cell_length_c 6.050
_cell_angle_alpha 106.36
_cell_angle_beta 106.36
_cell_angle_gamma 115.88
_symmetry_space_group_name_H-M 'P 1'
_symmetry_Int_Tables_number 1
loop_
_symmetry_equiv_pos_as_xyz
'x,y,z'
loop_
_atom_site_label
_atom_site_type_symbol
_atom_site_fract_x
_atom_site_fract_y
_atom_site_fract_z
O1 O 0.329 0.514 0.184
O2 O 0.929 0.253 0.324
As1 As 0.750 0.250 0.500
O3 O 0.929 0.604 0.676
O4 O 0.329 0.145 0.816
O5 O 0.855 0.671 0.184
Mn1 Mn 0.250 0.750 0.500
As2 As 0.500 0.500 0.000
O6 O 0.396 0.071 0.324
Pr1 Pr 0.000 0.000 0.000
O7 O 0.747 0.071 0.676
O8 O 0.486 0.671 0.816
```



Here is a geometry-optimized MnAs2PtO8 structure from Alexandria via LeMat-Bulk. Energies are from PBE+U.

Output
Energy ... -6.110 eV/atom
SG ... No. 164

```
data_MnAs2PtO8
_chemical_formula_sum 'Mn1 As2 Pt1 O8'
_cell_length_a 5.466
_cell_length_b 5.466
_cell_length_c 6.382
_cell_angle_alpha 90.00
_cell_angle_beta 90.00
_cell_angle_gamma 120.00
_symmetry_space_group_name_H-M 'P 1'
_symmetry_Int_Tables_number 1
loop_
_symmetry_equiv_pos_as_xyz
'x,y,z'
loop_
_atom_site_label
_atom_site_type_symbol
_atom_site_fract_x
_atom_site_fract_y
_atom_site_fract_z
O1 O 0.667 0.333 0.549
O2 O 0.846 0.154 0.222
O3 O 0.154 0.308 0.778
As1 As 0.667 0.333 0.289
As2 As 0.333 0.667 0.711
O4 O 0.154 0.846 0.778
O5 O 0.692 0.846 0.778
O6 O 0.846 0.692 0.222
O7 O 0.333 0.667 0.451
Mn1 Mn 0.000 0.000 0.500
O8 O 0.308 0.154 0.222
Pt1 Pt 0.000 0.000 0.000
```



Here is a geometry-optimized RbMnAsO4 structure from Alexandria via LeMat-Bulk. Energies are from PBE+U.

Output
N(E_F) ... 0.00 states/eV/cell
Energy ... -6.283 eV/atom
SG ... No. 11

```
data_RbMnAsO4
_chemical_formula_sum 'Rb2 Mn2 As2 O8'
_cell_length_a 5.607
_cell_length_b 6.033
_cell_length_c 7.700
_cell_angle_alpha 90.00
_cell_angle_beta 106.58
_cell_angle_gamma 90.00
_symmetry_space_group_name_H-M 'P 1'
_symmetry_Int_Tables_number 1
loop_
_symmetry_equiv_pos_as_xyz
'x,y,z'
loop_
_atom_site_label
_atom_site_type_symbol
_atom_site_fract_x
_atom_site_fract_y
_atom_site_fract_z
O1 O 0.040 0.967 0.329
As1 As 0.753 0.250 0.675
As2 As 0.247 0.750 0.325
O2 O 0.960 0.467 0.671
Mn1 Mn 0.846 0.750 0.496
O3 O 0.341 0.750 0.134
Rb1 Rb 0.296 0.250 0.063
O4 O 0.040 0.533 0.329
Mn2 Mn 0.154 0.250 0.504
O5 O 0.659 0.250 0.866
O6 O 0.488 0.750 0.521
Rb2 Rb 0.704 0.750 0.937
O7 O 0.960 0.033 0.671
O8 O 0.512 0.250 0.479
```